Record 1
DFT (PBE-GGA) results for YFeSbI2 after structural relaxation.

Computed properties:
Total DFT energy (no corrections): -21.252 eV per cell
Magnetization: 0.000 μB per atom
Energy relative to the elements, uncorrected: 0.90 eV per formula unit
Polymorph energy (0 for the lowest one): 0.0000 eV per atom

Geometry as POSCAR:
```
YFeSbI2
1.0
-1.538 4.912 -0.767
-4.537 -1.715 -1.884
-1.980 0.109 4.669
I Sb Y Fe
2 1 1 1
direct
0.000 0.500 0.000 I
0.500 0.000 0.000 I
0.000 0.000 0.500 Sb
0.500 0.500 0.500 Y
0.000 0.000 0.000 Fe
```

Record 2
DFT (PBE-GGA) results for TbPm3Dy2 after structural relaxation.

Computed properties:
Total DFT energy (no corrections): -55.428 eV per cell
Magnetization: 0.000 μB per atom
Formation energy: 0.372 eV/f.u.
Polymorph energy (0 for the lowest one): 0.0000 eV per atom

Geometry as POSCAR:
```
TbPm3Dy2
1.0
-1.804 -4.956 -2.174
5.816 -1.760 6.669
-9.322 2.687 1.610
Tb Pm Dy
2 6 4
direct
0.876 0.752 0.882 Tb
0.124 0.248 0.118 Tb
0.251 0.502 0.577 Pm
0.998 0.997 0.667 Pm
0.625 0.250 0.633 Pm
0.375 0.750 0.367 Pm
0.002 0.003 0.333 Pm
0.749 0.498 0.423 Pm
0.499 0.998 0.835 Dy
0.501 0.002 0.165 Dy
0.749 0.498 0.087 Dy
0.251 0.502 0.913 Dy
```

Record 3
DFT (PBE-GGA) results for TaFeSb2 after structural relaxation.

Computed properties:
Total DFT energy (no corrections): -28.274 eV per cell
Magnetization: 0.526 μB per atom
Energy relative to the elements, uncorrected: 0.29 eV per formula unit
Polymorph energy (0 for the lowest one): 0.0409 eV per atom

Geometry as POSCAR:
```
TaFeSb2
1.0
4.291 0.000 0.000
0.000 3.689 0.083
0.000 1.736 5.087
Fe Sb Ta
1 2 1
direct
0.500 0.552 0.771 Fe
0.000 0.981 0.912 Sb
0.500 0.273 0.330 Sb
0.000 0.694 0.486 Ta
```

Record 4
DFT (PBE-GGA) results for Ga2TcH5 after structural relaxation.

Computed properties:
Total DFT energy (no corrections): -33.357 eV per cell
Magnetization: 0.000 μB per atom

Geometry as POSCAR:
```
Ga2TcH5
1.0
4.765 0.709 1.133
0.240 4.811 1.133
0.292 0.323 3.215
Ga Tc H
2 1 5
direct
0.182 0.637 0.625 Ga
0.637 0.182 0.625 Ga
0.073 0.073 0.962 Tc
0.878 0.417 0.887 H
0.198 0.198 0.336 H
0.559 0.559 0.475 H
0.417 0.878 0.887 H
0.833 0.833 0.202 H
```

Record 5
DFT (PBE-GGA) results for TlPdSe after structural relaxation.

Computed properties:
Total DFT energy (no corrections): -47.832 eV per cell
Magnetization: 0.000 μB per atom
Energy relative to the elements, uncorrected: -0.91 eV per formula unit

Geometry as POSCAR:
```
TlPdSe
1.0
5.906 0.289 0.000
-1.836 7.026 0.000
0.000 0.000 6.936
Tl Se Pd
4 4 4
direct
0.802 0.587 0.122 Tl
0.198 0.913 0.622 Tl
0.198 0.413 0.878 Tl
0.802 0.087 0.378 Tl
0.267 0.872 0.126 Se
0.733 0.628 0.626 Se
0.733 0.128 0.874 Se
0.267 0.372 0.374 Se
0.485 0.228 0.128 Pd
0.515 0.272 0.628 Pd
0.515 0.772 0.872 Pd
0.485 0.728 0.372 Pd
```

Record 6
DFT (PBE-GGA) results for HfAl6Cr after structural relaxation.

Computed properties:
Total DFT energy (no corrections): -43.850 eV per cell
Magnetization: 0.320 μB per atom
Formation energy: -1.818 eV/f.u.

Geometry as POSCAR:
```
HfAl6Cr
1.0
4.019 0.000 0.000
0.000 4.019 0.000
0.000 0.000 7.914
Hf Al Cr
1 6 1
direct
0.000 0.000 0.000 Hf
0.500 0.500 0.000 Al
0.500 0.500 0.500 Al
0.500 0.000 0.266 Al
0.500 0.000 0.734 Al
0.000 0.500 0.266 Al
0.000 0.500 0.734 Al
0.000 0.000 0.500 Cr
```

Record 7
DFT (PBE-GGA) results for CaCuPd4 after structural relaxation.

Computed properties:
Total DFT energy (no corrections): -57.298 eV per cell
Magnetization: 0.000 μB per atom
Formation energy: -1.780 eV/f.u.
Polymorph energy (0 for the lowest one): 0.0000 eV per atom

Geometry as POSCAR:
```
CaCuPd4
1.0
3.998 0.000 0.000
0.000 6.849 0.000
0.000 0.000 7.632
Ca Cu Pd
2 2 8
direct
0.000 0.637 0.750 Ca
0.000 0.363 0.250 Ca
0.000 0.232 0.750 Cu
0.000 0.768 0.250 Cu
0.000 0.000 0.500 Pd
0.000 0.000 0.000 Pd
0.500 0.957 0.750 Pd
0.500 0.043 0.250 Pd
0.500 0.693 0.052 Pd
0.500 0.307 0.948 Pd
0.500 0.693 0.448 Pd
0.500 0.307 0.552 Pd
```

Record 8
DFT (PBE-GGA) results for CrMo2Au after structural relaxation.

Computed properties:
Total DFT energy (no corrections): -33.711 eV per cell
Magnetization: 0.000 μB per atom
Formation energy: 0.852 eV/f.u.
Polymorph energy (0 for the lowest one): 0.0000 eV per atom

Geometry as POSCAR:
```
CrMo2Au
1.0
-0.393 -1.130 -2.415
2.662 0.162 0.387
-0.059 -8.017 3.761
Au Cr Mo
1 1 2
direct
0.500 0.500 0.250 Au
0.500 0.500 0.750 Cr
0.000 0.000 0.978 Mo
0.000 0.000 0.522 Mo
```

Record 9
DFT (PBE-GGA) results for TbPmSb2 after structural relaxation.

Computed properties:
Total DFT energy (no corrections): -44.127 eV per cell
Magnetization: 0.000 μB per atom
Energy relative to the elements, uncorrected: -4.44 eV per formula unit
Polymorph energy (0 for the lowest one): 0.0570 eV per atom

Geometry as POSCAR:
```
TbPmSb2
1.0
-1.000 3.560 2.450
-2.930 -3.305 -0.409
5.705 -6.517 11.799
Tb Pm Sb
2 2 4
direct
0.000 0.000 0.500 Tb
0.000 0.000 0.000 Tb
0.667 0.333 0.250 Pm
0.333 0.667 0.750 Pm
0.333 0.667 0.380 Sb
0.667 0.333 0.880 Sb
0.667 0.333 0.620 Sb
0.333 0.667 0.120 Sb
```

Record 10
DFT (PBE-GGA) results for LiYIn5 after structural relaxation.

Computed properties:
Total DFT energy (no corrections): -23.686 eV per cell
Magnetization: 0.000 μB per atom
Formation energy: -1.616 eV/f.u.

Geometry as POSCAR:
```
LiYIn5
1.0
-1.895 -2.957 -2.946
-1.345 -2.631 3.505
-7.013 4.105 0.391
Li Y In
1 1 5
direct
0.500 0.500 0.000 Li
0.000 0.000 0.500 Y
0.000 0.500 0.800 In
0.000 0.500 0.200 In
0.500 0.000 0.800 In
0.500 0.000 0.200 In
0.500 0.500 0.500 In
```

Record 11
DFT (PBE-GGA) results for Sr2MnGeSe5 after structural relaxation.

Computed properties:
Total DFT energy (no corrections): -88.460 eV per cell
Magnetization: 0.540 μB per atom
Energy relative to the elements, uncorrected: -9.66 eV per formula unit

Geometry as POSCAR:
```
Sr2MnGeSe5
1.0
-1.034 -0.394 -3.853
8.598 -4.969 0.285
-6.063 -10.337 2.683
Sr Mn Ge Se
4 2 2 10
direct
0.878 0.756 0.807 Sr
0.127 0.255 0.679 Sr
0.122 0.244 0.307 Sr
0.873 0.745 0.179 Sr
0.777 0.554 0.531 Mn
0.223 0.446 0.031 Mn
0.564 0.129 0.940 Ge
0.436 0.871 0.440 Ge
0.351 0.701 0.994 Se
0.682 0.363 0.882 Se
0.506 0.012 0.771 Se
0.290 0.580 0.667 Se
0.964 0.927 0.552 Se
0.649 0.299 0.494 Se
0.318 0.637 0.382 Se
0.494 0.988 0.271 Se
0.710 0.420 0.167 Se
0.036 0.073 0.052 Se
```

Record 12
DFT (PBE-GGA) results for ZnSnPd2 after structural relaxation.

Computed properties:
Total DFT energy (no corrections): -33.217 eV per cell
Magnetization: 0.000 μB per atom
Formation energy: -0.946 eV/f.u.

Geometry as POSCAR:
```
ZnSnPd2
1.0
-3.848 4.400 -4.094
3.882 -1.892 -5.682
-1.801 -0.843 -5.432
Zn Sn Pd
2 2 4
direct
0.500 0.500 0.000 Zn
0.250 0.750 0.500 Zn
0.000 0.000 0.000 Sn
0.750 0.250 0.500 Sn
0.604 0.125 0.250 Pd
0.146 0.625 0.250 Pd
0.375 0.396 0.750 Pd
0.875 0.854 0.750 Pd
```

Record 13
DFT (PBE-GGA) results for Dy3HoEr3 after structural relaxation.

Computed properties:
Total DFT energy (no corrections): -64.060 eV per cell
Magnetization: 0.000 μB per atom
Formation energy: 0.043 eV/f.u.
Polymorph energy (0 for the lowest one): 0.0000 eV per atom

Geometry as POSCAR:
```
Dy3HoEr3
1.0
5.594 0.000 0.000
0.000 9.492 -0.006
0.000 -4.740 8.224
Dy Ho Er
6 2 6
direct
0.750 0.761 0.809 Dy
0.750 0.048 0.239 Dy
0.750 0.191 0.952 Dy
0.250 0.239 0.191 Dy
0.250 0.952 0.761 Dy
0.250 0.809 0.048 Dy
0.750 0.333 0.667 Ho
0.250 0.667 0.333 Ho
0.250 0.524 0.619 Er
0.250 0.095 0.476 Er
0.250 0.381 0.905 Er
0.750 0.476 0.381 Er
0.750 0.905 0.524 Er
0.750 0.619 0.095 Er
```

Record 14
DFT (PBE-GGA) results for CeY8Ho2 after structural relaxation.

Computed properties:
Total DFT energy (no corrections): -64.905 eV per cell
Magnetization: 0.094 μB per atom
Formation energy: 1.897 eV/f.u.
Polymorph energy (0 for the lowest one): 0.1280 eV per atom

Geometry as POSCAR:
```
CeY8Ho2
1.0
-5.230 -1.106 -1.611
2.668 -9.835 -0.251
0.361 -8.166 6.092
Ce Y Ho
1 8 2
direct
0.000 0.000 0.000 Ce
0.267 0.132 0.601 Y
0.267 0.601 0.132 Y
0.733 0.868 0.399 Y
0.237 0.547 0.547 Y
0.733 0.399 0.868 Y
0.234 0.188 0.188 Y
0.766 0.812 0.812 Y
0.763 0.453 0.453 Y
0.751 0.284 0.284 Ho
0.249 0.716 0.716 Ho
```

Record 15
DFT (PBE-GGA) results for SbRhN2 after structural relaxation.

Computed properties:
Total DFT energy (no corrections): -49.997 eV per cell
Magnetization: 0.000 μB per atom
Energy relative to the elements, uncorrected: 3.13 eV per formula unit

Geometry as POSCAR:
```
SbRhN2
1.0
4.916 0.000 0.000
0.000 4.916 0.000
2.458 2.458 4.980
Sb Rh N
2 2 4
direct
0.000 0.000 0.000 Sb
0.750 0.250 0.500 Sb
0.500 0.500 0.000 Rh
0.250 0.750 0.500 Rh
0.595 0.125 0.250 N
0.155 0.625 0.250 N
0.375 0.405 0.750 N
0.875 0.845 0.750 N
```

Record 16
DFT (PBE-GGA) results for CdSiP2 after structural relaxation.

Computed properties:
Total DFT energy (no corrections): -15.871 eV per cell
Magnetization: 0.000 μB per atom
Energy relative to the elements, uncorrected: 1.29 eV per formula unit
Polymorph energy (0 for the lowest one): 0.5221 eV per atom

Geometry as POSCAR:
```
CdSiP2
1.0
5.097 0.000 0.000
0.000 3.243 -0.008
0.000 0.234 4.711
Cd P Si
1 2 1
direct
0.500 0.750 0.750 Cd
0.000 0.009 0.092 P
0.000 0.491 0.408 P
0.500 0.250 0.250 Si
```

Record 17
DFT (PBE-GGA) results for Mg2PaPO8 after structural relaxation.

Computed properties:
Total DFT energy (no corrections): -85.989 eV per cell
Magnetization: 0.163 μB per atom
Energy relative to the elements, uncorrected: -28.23 eV per formula unit

Geometry as POSCAR:
```
Mg2PaPO8
1.0
-1.470 -4.284 0.713
4.153 -1.187 1.546
-1.761 1.595 5.954
Mg Pa P O
2 1 1 8
direct
0.500 0.500 0.770 Mg
0.500 0.500 0.230 Mg
0.000 0.000 0.500 Pa
0.000 0.000 0.000 P
0.183 0.817 0.194 O
0.741 0.741 0.000 O
0.817 0.183 0.194 O
0.817 0.183 0.806 O
0.259 0.259 0.000 O
0.183 0.817 0.806 O
0.689 0.690 0.500 O
0.311 0.310 0.500 O
```

Record 18
DFT (PBE-GGA) results for BeRu2Rh after structural relaxation.

Computed properties:
Total DFT energy (no corrections): -29.808 eV per cell
Magnetization: 0.000 μB per atom
Formation energy: -0.178 eV/f.u.

Geometry as POSCAR:
```
BeRu2Rh
1.0
-0.726 -1.759 3.373
1.092 -2.280 -0.954
4.947 0.253 1.197
Ru Rh Be
2 1 1
direct
0.000 0.935 0.010 Ru
0.500 0.305 0.268 Ru
0.500 0.573 0.735 Rh
0.000 0.688 0.487 Be
```

Record 19
DFT (PBE-GGA) results for U2TlPd2S6 after structural relaxation.

Computed properties:
Total DFT energy (no corrections): -69.486 eV per cell
Magnetization: 0.089 μB per atom
Energy relative to the elements, uncorrected: -9.39 eV per formula unit

Geometry as POSCAR:
```
U2TlPd2S6
1.0
6.946 0.013 -0.046
3.512 6.099 -0.870
-0.055 -4.018 6.886
U Tl Pd S
2 1 2 6
direct
0.837 0.325 0.828 U
0.163 0.675 0.172 U
0.500 0.000 0.500 Tl
0.224 0.755 0.818 Pd
0.776 0.245 0.182 Pd
0.416 0.803 0.072 S
0.977 0.423 0.154 S
0.199 0.796 0.543 S
0.023 0.577 0.846 S
0.801 0.204 0.457 S
0.584 0.197 0.928 S
```

Record 20
DFT (PBE-GGA) results for HfTaCd2 after structural relaxation.

Computed properties:
Total DFT energy (no corrections): -41.889 eV per cell
Magnetization: 0.000 μB per atom
Formation energy: 2.692 eV/f.u.
Polymorph energy (0 for the lowest one): 0.2896 eV per atom

Geometry as POSCAR:
```
HfTaCd2
1.0
-2.632 1.481 7.263
6.774 -2.648 2.994
3.147 2.011 4.989
Cd Hf Ta
4 2 2
direct
0.633 0.125 0.250 Cd
0.117 0.625 0.250 Cd
0.375 0.367 0.750 Cd
0.875 0.883 0.750 Cd
0.500 0.500 0.000 Hf
0.250 0.750 0.500 Hf
0.000 0.000 0.000 Ta
0.750 0.250 0.500 Ta
```

Record 21
DFT (PBE-GGA) results for FeCo after structural relaxation.

Computed properties:
Total DFT energy (no corrections): -27.156 eV per cell
Magnetization: 2.006 μB per atom
Formation energy: 1.991 eV/f.u.

Geometry as POSCAR:
```
FeCo
1.0
3.901 0.000 0.000
-1.950 3.378 0.000
0.000 0.000 4.665
Fe Co
2 2
direct
0.333 0.667 0.250 Fe
0.667 0.333 0.750 Fe
0.333 0.667 0.750 Co
0.667 0.333 0.250 Co
```

Record 22
DFT (PBE-GGA) results for TmB4Os4 after structural relaxation.

Computed properties:
Total DFT energy (no corrections): -158.779 eV per cell
Magnetization: 0.000 μB per atom
Formation energy: -3.289 eV/f.u.

Geometry as POSCAR:
```
TmB4Os4
1.0
-3.955 0.373 -0.642
0.954 -2.178 -7.140
-1.009 -7.169 2.052
Tm B Os
2 8 8
direct
0.000 0.000 0.000 Tm
0.500 0.500 0.500 Tm
0.614 0.837 0.281 B
0.614 0.163 0.719 B
0.114 0.781 0.663 B
0.886 0.337 0.781 B
0.886 0.663 0.219 B
0.386 0.281 0.163 B
0.386 0.719 0.837 B
0.114 0.219 0.337 B
0.383 0.354 0.891 Os
0.883 0.609 0.854 Os
0.383 0.646 0.109 Os
0.117 0.146 0.609 Os
0.617 0.891 0.646 Os
0.117 0.854 0.391 Os
0.883 0.391 0.146 Os
0.617 0.109 0.354 Os
```

Record 23
DFT (PBE-GGA) results for Rb2YNpO4 after structural relaxation.

Computed properties:
Total DFT energy (no corrections): -60.371 eV per cell
Magnetization: 0.500 μB per atom
Energy relative to the elements, uncorrected: -19.20 eV per formula unit

Geometry as POSCAR:
```
Rb2YNpO4
1.0
-2.343 -2.187 1.555
4.065 -1.163 4.488
-3.761 5.434 1.977
Rb Y Np O
2 1 1 4
direct
0.500 0.000 0.500 Rb
0.000 0.500 0.500 Rb
0.000 0.000 0.000 Y
0.500 0.500 0.000 Np
0.500 0.223 0.175 O
0.500 0.777 0.825 O
0.000 0.275 0.825 O
0.000 0.725 0.175 O
```